(1)
Material: Sm3HgTe
Method: DFT, GGA-PBE
State: optimized geometry

Cell: 9.227 9.227 9.227 Å, 44.11 44.11 44.11°
Sites, in units of the cell vectors:
1 Sm 0.094 0.502 0.687
2 Sm 0.313 0.498 0.906
3 Sm 0.498 0.906 0.313
4 Sm 0.502 0.687 0.094
5 Sm 0.687 0.094 0.502
6 Sm 0.906 0.313 0.498
7 Hg 0.139 0.139 0.139
8 Hg 0.861 0.861 0.861
9 Te 0.333 0.333 0.333
10 Te 0.667 0.667 0.667

## Properties
Polymorph energy (0 for the lowest one): 203 meV/atom
Raw formation energy: -492 meV/atom
Space-group type: R32, No. 155



(2)
Material: MgIr4Rh8
Method: DFT, GGA-PBE
State: optimized geometry

Cell: 5.994 5.994 5.994 Å, 90.00 90.00 90.00°
Sites, in units of the cell vectors:
1 Mg 0.000 0.000 0.000
2 Ir 0.000 0.000 0.500
3 Ir 0.000 0.500 0.000
4 Ir 0.500 0.000 0.000
5 Ir 0.500 0.500 0.500
6 Rh 0.259 0.259 0.259
7 Rh 0.259 0.259 0.741
8 Rh 0.259 0.741 0.259
9 Rh 0.259 0.741 0.741
10 Rh 0.741 0.259 0.259
11 Rh 0.741 0.259 0.741
12 Rh 0.741 0.741 0.259
13 Rh 0.741 0.741 0.741

## Properties
Space-group type: Pm-3m, No. 221
Energy relative to the elements: 0.428 eV per atom



(3)
Material: K2LaGaO4
Method: DFT, GGA-PBE
State: optimized geometry

Cell: 6.923 6.923 7.477 Å, 117.21 117.21 89.36°
Sites, in units of the cell vectors:
1 K 0.000 0.000 0.000
2 K 0.000 0.000 0.500
3 K 0.000 0.500 0.000
4 K 0.500 0.000 0.500
5 La 0.500 0.500 0.000
6 La 0.500 0.500 0.500
7 Ga 0.000 0.500 0.500
8 Ga 0.500 0.000 0.000
9 O 0.170 0.654 0.448
10 O 0.260 0.329 0.571
11 O 0.329 0.260 0.071
12 O 0.346 0.830 0.052
13 O 0.654 0.170 0.948
14 O 0.671 0.740 0.929
15 O 0.740 0.671 0.429
16 O 0.830 0.346 0.552

## Properties
Raw formation energy: -2012 meV/atom
Space-group type: C2/c, No. 15



(4)
Material: YScH
Method: DFT, GGA-PBE
State: optimized geometry

Cell: 6.229 6.229 6.229 Å, 149.74 149.74 43.33°
Sites, in units of the cell vectors:
1 Y 0.000 0.000 0.000
2 Sc 0.292 0.292 0.000
3 H 0.471 0.471 0.000

## Properties
Polymorph energy (0 for the lowest one): 218 meV/atom
Space-group type: I4mm, No. 107



(5)
Material: KSrTe2
Method: DFT, GGA-PBE
State: optimized geometry

Cell: 8.516 8.516 8.516 Å, 33.28 33.28 33.28°
Sites, in units of the cell vectors:
1 K 0.000 0.000 0.000
2 Sr 0.172 0.172 0.172
3 Te 0.578 0.578 0.578
4 Te 0.763 0.763 0.763

## Properties
Raw formation energy: -1094 meV/atom
Space-group type: R3m, No. 160



(6)
Material: ZnTe2As
Method: DFT, GGA-PBE
State: optimized geometry

Cell: 3.567 3.567 7.304 Å, 90.00 90.00 90.00°
Sites, in units of the cell vectors:
1 Zn 0.000 0.000 0.000
2 Te 0.500 0.500 0.247
3 Te 0.500 0.500 0.753
4 As 0.000 0.000 0.500

## Properties
Polymorph energy (0 for the lowest one): 377 meV/atom
Raw formation energy: 314 meV/atom
Space-group type: P4/mmm, No. 123



no.,DOS(E_F) (states/eV/cell),calculated total energy (eV/atom)
1,5.68,-4.012
2,26.60,-6.945
3,0.00,-5.760
4,3.43,-5.482
5,5.48,-3.360
6,2.35,-2.738